Computed, not measured: a relaxed NiAs2Cl8 crystal at the PBE level of DFT.

Computed properties:
E, hartree per atom: -0.1183
Space-group type: C2/m

a b c (Å): 6.2663 9.2213 9.2213
angles (deg): 48.22 100.58 100.58
Last column: nearest neighbours and their distance in Å.
Fractional positions:
Ni1 0.0000 0.0000 0.0000  4 Cl 2.19
Cl1 0.6017 0.2190 0.2190  1 As 2.19
Cl2 0.7943 0.7259 0.1407  1 Ni 2.19
Cl3 0.7976 0.6777 0.6777  1 As 2.28
Cl4 0.2057 0.2741 0.8593  1 Ni 2.19
Cl5 0.2057 0.8593 0.2741  1 Ni 2.19
Cl6 0.3983 0.7810 0.7810  1 As 2.19
Cl7 0.7943 0.1407 0.7259  1 Ni 2.19
Cl8 0.2024 0.3223 0.3223  1 As 2.28
As1 0.2445 0.1907 0.1907  2 Cl 2.19-2.28
As2 0.7555 0.8093 0.8093  2 Cl 2.19-2.28